Density functional theory data (PBE) for a relaxed SiH3Rh3 crystal.

Results
Energy ... -5.623 eV per atom
Volume ... 9.6 A^3/atom

Unit cell a=7.3656 b=7.3656 c=2.8609 alpha=90.00 beta=90.00 gamma=120.00
Closest atoms and distances in Å follow each position.
Atoms (fractional coordinates):
Si 0.3333 0.6667 0.2500  6 Rh 2.44
Si 0.6667 0.3333 0.7500  6 Rh 2.44
H 0.0354 0.2330 0.7500  3 Rh 1.75-1.88
H 0.1976 0.9646 0.7500  3 Rh 1.75-1.88
H 0.2330 0.1976 0.2500  3 Rh 1.75-1.88
H 0.7670 0.8024 0.7500  3 Rh 1.75-1.88
H 0.8024 0.0354 0.2500  3 Rh 1.75-1.88
H 0.9646 0.7670 0.2500  3 Rh 1.75-1.88
Rh 0.0788 0.6915 0.7500  3 H 1.75-1.88
Rh 0.3085 0.3873 0.7500  3 H 1.75-1.88
Rh 0.3873 0.0788 0.2500  3 H 1.75-1.88
Rh 0.6127 0.9212 0.7500  3 H 1.75-1.88
Rh 0.6915 0.6127 0.2500  3 H 1.75-1.88
Rh 0.9212 0.3085 0.2500  3 H 1.75-1.88

Density functional theory data (PBE) for a relaxed Pr6Co2PdCl3 crystal.

Results
Energy ... -5.386 eV per atom
E_form (uncorrected) ... -918 meV per atom
Volume ... 27.3 A^3/atom

Unit cell a=9.8120 b=9.8120 c=8.9365 alpha=109.65 beta=109.65 gamma=23.93
Closest atoms and distances in Å follow each position.
Atoms (fractional coordinates):
Pr 0.0179 0.0179 0.2412  1 Co 2.70, 2 Pd 2.90
Pr 0.3208 0.3208 0.4413  3 Co 2.77-2.80
Pr 0.3369 0.3369 0.8774  2 Co 2.77, 1 Pd 2.94
Pr 0.6631 0.6631 0.1226  2 Co 2.77, 1 Pd 2.94
Pr 0.6792 0.6792 0.5587  3 Co 2.77-2.80
Pr 0.9821 0.9821 0.7588  1 Co 2.70, 2 Pd 2.90
Co 0.1673 0.1673 0.3360  6 Pr 2.70-2.80
Co 0.8327 0.8327 0.6640  6 Pr 2.70-2.80
Pd 0.5000 0.5000 0.0000  6 Pr 2.90-2.94
Cl 0.1679 0.1679 0.8351  6 Pr 3.13-3.39
Cl 0.5000 0.5000 0.5000  6 Pr 3.19-3.30
Cl 0.8321 0.8321 0.1649  6 Pr 3.13-3.39

Density functional theory data (PBE) for a relaxed Cs3Hg7Pt2 crystal.

Results
Energy ... -1.680 eV per atom
Energy relative to the elements ... -284 meV per atom
Volume ... 37.3 A^3/atom

Unit cell a=15.5366 b=15.5366 c=15.5366 alpha=159.79 beta=159.79 gamma=28.73
Closest atoms and distances in Å follow each position.
Atoms (fractional coordinates):
Cs 0.0000 0.0000 0.0000  12 Hg 3.86-3.91
Cs 0.1860 0.1860 0.0000  9 Hg 3.86-3.93
Cs 0.8140 0.8140 0.0000  9 Hg 3.86-3.93
Hg 0.0932 0.5932 0.5000  2 Pt 2.73
Hg 0.3167 0.3167 0.0000  1 Pt 2.77
Hg 0.4068 0.9068 0.5000  2 Pt 2.73
Hg 0.5000 0.5000 0.0000  2 Pt 2.75
Hg 0.5932 0.0932 0.5000  2 Pt 2.73
Hg 0.6833 0.6833 0.0000  1 Pt 2.77
Hg 0.9068 0.4068 0.5000  2 Pt 2.73
Pt 0.4086 0.4086 0.0000  6 Hg 2.73-2.77
Pt 0.5914 0.5914 0.0000  6 Hg 2.73-2.77

Density functional theory data (PBE) for a relaxed RbMg2Se crystal.

Results
Energy ... -2.216 eV per atom
E_form (uncorrected) ... -306 meV per atom
Volume ... 33.8 A^3/atom

Unit cell a=7.2241 b=7.2241 c=7.2241 alpha=101.71 beta=101.71 gamma=126.45
Closest atoms and distances in Å follow each position.
Atoms (fractional coordinates):
Rb 0.0000 0.0000 0.0000  2 Se 3.25
Rb 0.7500 0.2500 0.5000  2 Se 3.25
Mg 0.2116 0.1250 0.5866  2 Se 2.84
Mg 0.3750 0.7884 0.9134  2 Se 2.84
Mg 0.5384 0.6250 0.4134  2 Se 2.84
Mg 0.8750 0.4616 0.0866  2 Se 2.84
Se 0.2500 0.7500 0.5000  4 Mg 2.84
Se 0.5000 0.5000 0.0000  4 Mg 2.84

Density functional theory data (PBE) for a relaxed MgHPdBr2 crystal.

Results
Energy ... -2.495 eV per atom
Volume ... 27.1 A^3/atom

Unit cell a=5.2114 b=5.2114 c=4.9943 alpha=90.00 beta=90.00 gamma=90.00
Closest atoms and distances in Å follow each position.
Atoms (fractional coordinates):
Mg 0.0000 0.0000 0.0000  2 Pd 2.50
H 0.5000 0.5000 0.0000  8 Br 3.61, 4 Mg 3.69
Pd 0.0000 0.0000 0.5000  2 Mg 2.50, 4 Br 2.61
Br 0.0000 0.5000 0.5000  2 Pd 2.61
Br 0.5000 0.0000 0.5000  2 Pd 2.61

Density functional theory data (PBE) for a relaxed CuBr2Cl crystal.

Results
Energy ... -2.341 eV per atom
E_form (uncorrected) ... -19 meV per atom
Volume ... 24.3 A^3/atom

Unit cell a=4.8719 b=4.0581 c=5.4759 alpha=90.00 beta=116.33 gamma=90.00
Closest atoms and distances in Å follow each position.
Atoms (fractional coordinates):
Cu 0.0000 0.0000 0.0000  2 Cl 2.44
Br 0.2067 0.5000 0.4133  2 Br 2.58, 2 Cu 2.87
Br 0.7933 0.5000 0.5867  2 Br 2.58, 2 Cu 2.87
Cl 0.5000 0.0000 0.0000  2 Cu 2.44

Density functional theory data (PBE) for a relaxed CdBr2Cl crystal.

Results
Energy ... -1.917 eV per atom
E_form (uncorrected) ... -390 meV per atom
Volume ... 27.4 A^3/atom

Unit cell a=6.9133 b=6.9133 c=6.9133 alpha=98.85 beta=98.85 gamma=133.81
Closest atoms and distances in Å follow each position.
Atoms (fractional coordinates):
Cd 0.0000 0.0000 0.0000  2 Cl 2.71, 4 Br 2.94
Cd 0.7500 0.2500 0.5000  2 Cl 2.71, 4 Br 2.94
Br 0.0716 0.6250 0.9466  2 Br 2.88, 2 Cd 2.94
Br 0.3750 0.3216 0.4466  2 Br 2.88, 2 Cd 2.94
Br 0.6784 0.1250 0.0534  2 Br 2.88, 2 Cd 2.94
Br 0.8750 0.9284 0.5534  2 Br 2.88, 2 Cd 2.94
Cl 0.2500 0.7500 0.5000  2 Cd 2.71
Cl 0.5000 0.5000 0.0000  2 Cd 2.71

Density functional theory data (PBE) for a relaxed CaCr2Au crystal.

Results
Energy ... -5.401 eV per atom
Energy relative to the elements ... 730 meV per atom
Volume ... 17.0 A^3/atom

Unit cell a=5.3773 b=5.3773 c=5.3773 alpha=138.33 beta=138.33 gamma=60.40
Closest atoms and distances in Å follow each position.
Atoms (fractional coordinates):
Ca 0.0000 0.0000 0.0000  4 Au 2.70, 8 Cr 3.01
Cr 0.2500 0.7500 0.5000  4 Cr 2.70, 4 Ca 3.01, 4 Au 3.01
Cr 0.7500 0.2500 0.5000  4 Cr 2.70, 4 Ca 3.01, 4 Au 3.01
Au 0.5000 0.5000 0.0000  4 Ca 2.70, 8 Cr 3.01

Density functional theory data (PBE) for a relaxed La2Co3Sn5 crystal.

Results
Energy ... -5.510 eV per atom
Energy relative to the elements ... -391 meV per atom
Volume ... 21.2 A^3/atom

Unit cell a=13.3873 b=13.3873 c=7.2130 alpha=90.00 beta=90.00 gamma=160.84
Closest atoms and distances in Å follow each position.
Atoms (fractional coordinates):
La 0.0283 0.9717 0.5000  1 Co 2.70
La 0.3293 0.6707 0.5432  4 Co 3.20-3.57, 9 Sn 3.23-3.58
La 0.6707 0.3293 0.0432  4 Co 3.20-3.57, 9 Sn 3.23-3.58
La 0.9717 0.0283 0.0000  1 Co 2.70
Co 0.1060 0.8940 0.2567  6 Sn 2.69-2.97, 1 La 2.70
Co 0.2763 0.7237 0.0500  7 Sn 2.63-2.82
Co 0.4487 0.5513 0.2874  5 Sn 2.59-2.76
Co 0.5513 0.4487 0.7874  5 Sn 2.59-2.76
Co 0.7237 0.2763 0.5500  7 Sn 2.63-2.82
Co 0.8940 0.1060 0.7567  6 Sn 2.69-2.97, 1 La 2.70
Sn 0.0932 0.9068 0.8852  3 Co 2.59-2.70
Sn 0.2051 0.7949 0.3425  4 Co 2.69-2.82, 1 Sn 2.99
Sn 0.2123 0.7877 0.7566  3 Co 2.70-2.71, 1 Sn 2.99
Sn 0.3757 0.6243 0.0208  2 Co 2.63-2.72
Sn 0.4519 0.5481 0.6670  4 Co 2.74-2.78
Sn 0.5481 0.4519 0.1670  4 Co 2.74-2.78
Sn 0.6243 0.3757 0.5208  2 Co 2.63-2.72
Sn 0.7877 0.2123 0.2566  3 Co 2.70-2.71, 1 Sn 2.99
Sn 0.7949 0.2051 0.8425  4 Co 2.69-2.82, 1 Sn 2.99
Sn 0.9068 0.0932 0.3852  3 Co 2.59-2.70

Density functional theory data (PBE) for a relaxed Pr2Nd4Dy3 crystal.

Results
Energy ... -4.660 eV per atom
Energy relative to the elements ... 55 meV per atom
Volume ... 34.8 A^3/atom

Unit cell a=3.6480 b=3.6480 c=27.1575 alpha=90.00 beta=90.00 gamma=120.00
Closest atoms and distances in Å follow each position.
Atoms (fractional coordinates):
Pr 0.0000 0.0000 0.0000  3 Dy 3.63, 6 Pr 3.65, 3 Nd 3.74
Pr 0.0000 0.0000 0.2143  3 Dy 3.55, 1 Nd 3.61, 6 Pr 3.65
Nd 0.0000 0.0000 0.3472  3 Dy 3.53, 1 Pr 3.61, 6 Nd 3.65
Nd 0.0000 0.0000 0.5597  3 Dy 3.61, 9 Nd 3.65-3.71
Nd 0.3333 0.6667 0.6719  3 Dy 3.60, 9 Nd 3.65-3.71
Nd 0.3333 0.6667 0.8863  3 Dy 3.59, 6 Nd 3.65, 3 Pr 3.74
Dy 0.0000 0.0000 0.7793  6 Nd 3.59-3.60, 6 Dy 3.65
Dy 0.3333 0.6667 0.1090  6 Pr 3.55-3.63, 6 Dy 3.65
Dy 0.3333 0.6667 0.4515  6 Nd 3.53-3.61, 6 Dy 3.65

Density functional theory data (PBE) for a relaxed AlFe3H crystal.

Results
Energy ... -4.758 eV per atom
Volume ... 17.6 A^3/atom

Unit cell a=4.4499 b=4.4499 c=4.4499 alpha=90.00 beta=90.00 gamma=90.00
Closest atoms and distances in Å follow each position.
Atoms (fractional coordinates):
Al 0.0000 0.0000 0.0000  6 Fe 2.22
Fe 0.0000 0.0000 0.5000  2 Al 2.22
Fe 0.0000 0.5000 0.0000  2 Al 2.22
Fe 0.5000 0.0000 0.0000  2 Al 2.22
H 0.5000 0.5000 0.5000  12 Fe 3.15

Density functional theory data (PBE) for a relaxed Ac2Sn6Rh crystal.

Results
Energy ... -4.941 eV per atom
Energy relative to the elements ... -543 meV per atom
Volume ... 27.2 A^3/atom

Unit cell a=6.8751 b=6.8751 c=5.9786 alpha=90.00 beta=90.00 gamma=120.00
Closest atoms and distances in Å follow each position.
Atoms (fractional coordinates):
Ac 0.3333 0.6667 0.3088  12 Sn 3.50-3.59
Ac 0.6667 0.3333 0.6912  12 Sn 3.50-3.59
Sn 0.1733 0.3466 0.7993  1 Rh 2.73
Sn 0.1733 0.8267 0.7993  1 Rh 2.73
Sn 0.3466 0.1733 0.2007  1 Rh 2.73
Sn 0.6534 0.8267 0.7993  1 Rh 2.73
Sn 0.8267 0.1733 0.2007  1 Rh 2.73
Sn 0.8267 0.6534 0.2007  1 Rh 2.73
Rh 0.0000 0.0000 0.5000  6 Sn 2.73